Record 1
## Ta2TeSe (PBE)

Data for a relaxed structure of Ta2TeSe.

Lattice parameters (Å, degrees): 3.410 3.556 6.940 90.00 90.00 90.00
Positions (direct):
Ta 0.000 0.000 0.216
Ta 0.000 0.000 0.784
Te 0.500 0.500 0.000
Se 0.500 0.000 0.500

## Properties
Its energy relative to the elements, uncorrected is 0.15 eV per atom. For the excess energy over the best structure of this formula in the dataset, the calculation gives 526 meV per atom. Its space group is Pmmm, No. 47. The value obtained for the density of states at the Fermi level is 2.6 states/eV per cell.

Record 2
## K2CoRu (PBE)

Data for a relaxed structure of K2CoRu.

Lattice parameters (Å, degrees): 3.728 5.757 10.834 90.00 90.00 90.00
Positions (direct):
K 0.000 0.000 0.000
K 0.000 0.500 0.202
K 0.500 0.000 0.702
K 0.500 0.500 0.500
Co 0.000 0.000 0.414
Co 0.500 0.500 0.914
Ru 0.000 0.500 0.797
Ru 0.500 0.000 0.297

## Properties
For the excess energy over the best structure of this formula in the dataset, the calculation gives 216 meV per atom. Its space group is Imm2, No. 44. The calculation puts the energy of formation from the pure elements at 0.92 eV per atom. The value obtained for the density of states at the Fermi level is 8.2 states/eV per cell.

Repeat the first record exactly.
## Ta2TeSe (PBE)

Data for a relaxed structure of Ta2TeSe.

Lattice parameters (Å, degrees): 3.410 3.556 6.940 90.00 90.00 90.00
Positions (direct):
Ta 0.000 0.000 0.216
Ta 0.000 0.000 0.784
Te 0.500 0.500 0.000
Se 0.500 0.000 0.500

## Properties
Its energy relative to the elements, uncorrected is 0.15 eV per atom. For the excess energy over the best structure of this formula in the dataset, the calculation gives 526 meV per atom. Its space group is Pmmm, No. 47. The value obtained for the density of states at the Fermi level is 2.6 states/eV per cell.

Among the records above, which one has the highest excess energy over the best structure of this formula in the dataset?
Ta2TeSe

What did the first record say?
## Ta2TeSe (PBE)

Data for a relaxed structure of Ta2TeSe.

Lattice parameters (Å, degrees): 3.410 3.556 6.940 90.00 90.00 90.00
Positions (direct):
Ta 0.000 0.000 0.216
Ta 0.000 0.000 0.784
Te 0.500 0.500 0.000
Se 0.500 0.000 0.500

## Properties
Its energy relative to the elements, uncorrected is 0.15 eV per atom. For the excess energy over the best structure of this formula in the dataset, the calculation gives 526 meV per atom. Its space group is Pmmm, No. 47. The value obtained for the density of states at the Fermi level is 2.6 states/eV per cell.

Which formula does entry 2 have?
K2CoRu